# InPb4 GGA-PBEsol relaxed
# Total magnetic moment (μB/cell): 0.0
# Energy above the most stable polymorph in this dataset (eV/atom): 0.1723
data_InPb4
_chemical_formula_sum 'In2 Pb8'
_cell_length_a 4.517
_cell_length_b 4.517
_cell_length_c 15.676
_cell_angle_alpha 90.00
_cell_angle_beta 90.00
_cell_angle_gamma 90.00
_symmetry_space_group_name_H-M 'I 4/m m m'
_symmetry_Int_Tables_number 139
_symmetry_space_group_name_Hall '-I 4 2'
loop_
_atom_site_label
_atom_site_type_symbol
_atom_site_fract_x
_atom_site_fract_y
_atom_site_fract_z
_atom_site_occupancy
In1 In 0.000 0.000 0.000 1
Pb1 Pb 0.000 0.000 0.402 1
Pb2 Pb 0.000 0.500 0.250 1